1.
First-principles (SCAN) data for a PBEsol-optimized structure of Li4SbRh, as listed in Alexandria via LeMat-Bulk.

ΔE_f (raw) (eV per atom): -0.258
DFT total energy (eV/atom): -13.690
M_tot (μB per cell): 0.9

Unit cell a=6.837 b=6.837 c=6.837 alpha=90.00 beta=90.00 gamma=90.00
Space group F-43m (No. 216)
One atom of each set of equivalent atoms:
Li 0.123 0.123 0.377 x16
Sb 0.000 0.000 0.000 x4
Rh 0.250 0.250 0.750 x4



2.
First-principles (SCAN) data for a PBEsol-optimized structure of LiScRh2, as listed in Alexandria via LeMat-Bulk.

DFT total energy (eV/atom): -21.680
M_tot (μB per cell): 0.0
Formation energy (eV/atom): -0.637

Unit cell a=3.104 b=3.104 c=5.874 alpha=90.00 beta=90.00 gamma=90.00
Space group P4/mmm (No. 123)
One atom of each set of equivalent atoms:
Li 0.000 0.000 0.000 x1
Sc 0.000 0.000 0.500 x1
Rh 0.500 0.500 0.234 x2



3.
First-principles (SCAN) data for a PBEsol-optimized structure of LiScRh2, as listed in Alexandria via LeMat-Bulk.

DFT total energy (eV/atom): -21.696
M_tot (μB per cell): 0.0
Formation energy (eV/atom): -0.654

Unit cell a=6.095 b=6.095 c=6.095 alpha=90.00 beta=90.00 gamma=90.00
Space group Fm-3m (No. 225)
One atom of each set of equivalent atoms:
Li 0.000 0.000 0.000 x4
Sc 0.000 0.000 0.500 x4
Rh 0.250 0.250 0.250 x8



4.
First-principles (SCAN) data for a PBEsol-optimized structure of Li2ScRh, as listed in Alexandria via LeMat-Bulk.

DFT total energy (eV/atom): -13.512
M_tot (μB per cell): 0.0
Formation energy (eV/atom): -0.315

Unit cell a=3.085 b=4.922 c=4.289 alpha=90.00 beta=94.63 gamma=90.00
Space group P2/m (No. 10)
One atom of each set of equivalent atoms:
Li 0.220 0.000 0.283 x2
Sc 0.500 0.500 0.000 x1
Rh 0.000 0.500 0.500 x1



5.
First-principles (SCAN) data for a PBEsol-optimized structure of LiScRh2, as listed in Alexandria via LeMat-Bulk.

DFT total energy (eV/atom): -21.554
M_tot (μB per cell): 0.0
Formation energy (eV/atom): -0.511

Unit cell a=3.152 b=4.172 c=8.855 alpha=90.00 beta=90.00 gamma=90.00
Space group Imm2 (No. 44)
One atom of each set of equivalent atoms:
Li 0.000 0.000 0.000 x2
Sc 0.000 0.500 0.230 x2
Rh 0.000 0.000 0.485 x2
Rh 0.000 0.500 0.743 x2



6.
First-principles (SCAN) data for a PBEsol-optimized structure of LiScTaRh2, as listed in Alexandria via LeMat-Bulk.

DFT total energy (eV/atom): -29.593
M_tot (μB per cell): 0.0
Formation energy (eV/atom): 0.558

Unit cell a=4.683 b=4.683 c=5.060 alpha=90.00 beta=90.00 gamma=90.00
Space group P4/mmm (No. 123)
One atom of each set of equivalent atoms:
Li 0.000 0.000 0.000 x1
Sc 0.500 0.500 0.000 x1
Ta 0.500 0.500 0.500 x1
Rh 0.000 0.500 0.500 x2



7.
First-principles (SCAN) data for a PBEsol-optimized structure of LiRhSe3, as listed in Alexandria via LeMat-Bulk.

ΔE_f (raw) (eV per atom): 0.005
DFT total energy (eV/atom): -19.274
M_tot (μB per cell): 2.0

Unit cell a=4.873 b=4.873 c=4.873 alpha=90.00 beta=90.00 gamma=90.00
Space group Pm-3m (No. 221)
One atom of each set of equivalent atoms:
Li 0.000 0.000 0.000 x1
Rh 0.500 0.500 0.500 x1
Se 0.000 0.500 0.500 x3



8.
First-principles (SCAN) data for a PBEsol-optimized structure of Li2RhSe, as listed in Alexandria via LeMat-Bulk.

ΔE_f (raw) (eV per atom): -0.300
DFT total energy (eV/atom): -14.957
M_tot (μB per cell): 0.8

Unit cell a=2.8350 b=2.8350 c=24.7378 alpha=90.00 beta=90.00 gamma=120.00
Space group R-3m (No. 166, hexagonal axes)
One atom of each set of equivalent atoms:
Li 0.0000 0.0000 0.2488 x6
Rh 0.0000 0.0000 0.5000 x3
Se 0.0000 0.0000 0.0000 x3



Short version: density = 5.25 7.56 7.56 4.14 7.35 6.56 4.98 5.66 g/cm³, in the order given.
Short version: DOS at the Fermi energy = 6.28 1.84 5.93 1.76 4.98 2.36 4.06 5.58 states/eV/cell, in the order given.